Here is a geometry-optimized NdMnCo2 structure from Alexandria via LeMat-Bulk. Energies are from PBE.

Properties
The total magnetization comes out at 0.91 μB per atom. The value obtained for the formation energy is 0.02 eV/atom.

abc: 4.0369 4.0369 5.4620
angles: 68.31 68.31 60.00
Atoms (fractional coordinates):
Co: 0.8064 0.8064 0.5808
Co: 0.1936 0.1936 0.4192
Mn: 0.5000 0.5000 0.5000
Nd: 0.0000 0.0000 0.0000